CdCuF4 PBE relaxed; E_form (uncorrected) = -1864 meV per atom; energy relative to the lowest polymorph listed for this composition = 0.000 eV per atom
1.0
6.4725 -0.0053 0.0000
1.9005 6.1872 0.0000
-4.1865 -3.0909 3.8487
Cd Cu F
2 2 8
direct
0.2500 0.2500 0.0000 Cd
0.7500 0.7500 0.0000 Cd
0.5000 0.0000 0.5000 Cu
0.0000 0.5000 0.5000 Cu
0.9484 0.4484 0.1408 F
0.6924 0.1924 0.1408 F
0.0516 0.5516 0.8592 F
0.5516 0.6924 0.5000 F
0.3076 0.8076 0.8592 F
0.8076 0.9484 0.5000 F
0.4484 0.3076 0.5000 F
0.1924 0.0516 0.5000 F

---

RbLiBH2 PBE relaxed; VASP energy = -1.991 eV per atom; DOS at the Fermi energy = 0.465 states/eV per atom
1.0
4.2061 0.0000 0.0000
0.0000 5.3465 0.0000
0.0000 0.0000 4.2061
H B Rb Li
2 1 1 1
direct
0.0000 0.0000 0.5000 H
0.5000 0.0000 0.0000 H
0.5000 0.5000 0.5000 B
0.0000 0.5000 0.0000 Rb
0.0000 0.0000 0.0000 Li